Record 1
GdBAsO | PBE | optimized geometry

```
GdBAsO
1.0
-3.413 1.899 -0.772
-2.361 -2.648 3.923
1.574 4.430 3.938
As B Gd O
2 2 2 2
direct
0.000 0.858 0.268
0.000 0.142 0.768
0.000 0.200 0.436
0.000 0.800 0.936
0.500 0.277 0.104
0.500 0.723 0.604
0.500 0.349 0.446
0.500 0.651 0.946
```

Results
Energy above the most stable polymorph in this dataset = 485 meV per atom
Space group = No. 26


Record 2
Gd2CoPt | PBE | optimized geometry

```
Gd2CoPt
1.0
-0.431 0.060 -4.126
5.474 -4.805 -0.642
-3.714 -4.275 0.326
Co Gd Pt
2 4 2
direct
0.500 0.212 0.137
0.000 0.788 0.637
0.000 0.934 0.129
0.000 0.419 0.368
0.500 0.066 0.629
0.500 0.581 0.868
0.500 0.708 0.366
0.000 0.292 0.866
```

Results
Energy above the most stable polymorph in this dataset = 2 meV per atom
Space group = No. 31


Record 3
LuFeCoGe | PBE | optimized geometry

```
LuFeCoGe
1.0
0.000 3.037 3.037
3.037 0.000 3.037
3.037 3.037 0.000
Co Fe Ge Lu
1 1 1 1
direct
0.750 0.750 0.750
0.250 0.250 0.250
0.000 0.000 0.000
0.500 0.500 0.500
```

Results
Energy above the most stable polymorph in this dataset = 0 meV per atom
Space group = No. 216


Record 4
HfFeSn2 | PBE | optimized geometry

```
HfFeSn2
1.0
2.992 1.860 3.257
-1.751 2.143 3.919
0.474 -2.090 4.292
Fe Hf Sn
1 1 2
direct
0.250 0.250 0.250
0.500 0.500 0.500
0.000 0.000 0.000
0.750 0.750 0.750
```

Results
Space group = No. 216
E_tot = -25.1 eV per cell


Record 5
InTe5Mo3 | PBE | optimized geometry

```
InTe5Mo3
1.0
5.971 0.000 0.000
-2.986 5.171 0.000
0.000 0.000 8.182
In Mo Te
1 3 5
direct
0.000 0.000 0.000
0.500 0.000 0.500
0.000 0.500 0.500
0.500 0.500 0.500
0.667 0.333 0.236
0.333 0.667 0.236
0.000 0.000 0.500
0.667 0.333 0.764
0.333 0.667 0.764
```

Results
Space group = No. 191
E_tot = -50.1 eV per cell


Record 6
ThSc2Cd | PBE | optimized geometry

```
ThSc2Cd
1.0
3.482 0.000 0.000
0.000 3.482 0.000
0.000 0.000 8.199
Cd Sc Th
1 2 1
direct
0.000 0.000 0.000
0.500 0.500 0.225
0.500 0.500 0.775
0.000 0.000 0.500
```

Results
Space group = No. 123
E_tot = -21.6 eV per cell


Record 7
Dy2ErCu4Sn2Ge2 | PBE | optimized geometry

```
Dy2ErCu4Sn2Ge2
1.0
-2.143 3.445 7.136
2.143 -3.445 7.136
2.143 3.445 -7.136
Cu Dy Er Ge Sn
4 2 1 2 2
direct
0.634 0.323 0.312
0.989 0.677 0.312
0.011 0.323 0.688
0.366 0.677 0.688
0.635 0.135 0.500
0.365 0.865 0.500
0.000 0.000 0.000
0.216 0.216 0.000
0.784 0.784 0.000
0.703 0.500 0.203
0.297 0.500 0.797
```

Results
Energy above the most stable polymorph in this dataset = 63 meV per atom
Space group = No. 71


Record 8
Ac2Pd7 | PBE | optimized geometry

```
Ac2Pd7
1.0
3.122 0.256 13.750
8.139 0.450 11.508
5.207 5.065 12.088
Ac Pd
4 14
direct
0.049 0.049 0.049
0.146 0.146 0.146
0.854 0.854 0.854
0.951 0.951 0.951
0.500 0.500 0.000
0.612 0.612 0.109
0.278 0.278 0.278
0.891 0.388 0.388
0.388 0.891 0.388
0.389 0.389 0.389
0.500 0.000 0.500
0.000 0.500 0.500
0.500 0.500 0.500
0.611 0.611 0.611
0.612 0.109 0.612
0.109 0.612 0.612
0.722 0.722 0.722
0.388 0.388 0.891
```

Results
Space group = No. 166
E_tot = -101.4 eV per cell


Record-wise M_tot values, in μB/atom: 0.000, 0.004, 0.000, 0.104, 0.443, 0.002, 0.000, 0.001